# 1
Entry from the Alexandria database: a relaxed KBa2HgO crystal (PBE).

It has space group P4/mmm (No. 123), with a = 5.438 Å, b = 5.438 Å, c = 5.669 Å, α = 90.00°, β = 90.00° and γ = 90.00°. The inequivalent atoms are K at (0.000, 0.000, 0.000), Ba at (0.000, 0.500, 0.500), Hg at (0.500, 0.500, 0.000) and O at (0.000, 0.000, 0.500).

Its calculated total energy is -3.08 eV per atom. The value obtained for the formation energy (no corrections) is -1.042 eV per atom.


# 2
Entry from the Alexandria database: a relaxed K2BaHgO crystal (PBE).

It has space group P4/mmm (No. 123), with a = 5.587 Å, b = 5.587 Å, c = 5.281 Å, α = 90.00°, β = 90.00° and γ = 90.00°. The inequivalent atoms are K at (0.000, 0.500, 0.000), Ba at (0.000, 0.000, 0.500), Hg at (0.500, 0.500, 0.500) and O at (0.000, 0.000, 0.000).

Its calculated total energy is -2.76 eV per atom. The value obtained for the formation energy (no corrections) is -0.888 eV per atom.


# 3
Entry from the Alexandria database: a relaxed KBaHg2Pb2 crystal (PBE).

It has space group P-3m1 (No. 164), with a = 5.2408 Å, b = 5.2408 Å, c = 8.9475 Å, α = 90.00°, β = 90.00° and γ = 120.00°. The inequivalent atoms are K at (0.0000, 0.0000, 0.0000), Ba at (0.0000, 0.0000, 0.5000), Hg at (0.3333, 0.6667, 0.7289) and Pb at (0.3333, 0.6667, 0.2663).

Its calculated total energy is -2.15 eV per atom. Its formation energy is -305 meV per atom.


# 4
Entry from the Alexandria database: a relaxed KBa2HgPd crystal (PBE).

It has space group P4/mmm (No. 123), with a = 6.232 Å, b = 6.232 Å, c = 5.549 Å, α = 90.00°, β = 90.00° and γ = 90.00°. The inequivalent atoms are K at (0.000, 0.000, 0.000), Ba at (0.000, 0.500, 0.500), Hg at (0.500, 0.500, 0.000) and Pd at (0.500, 0.500, 0.500).

As for the energy above the most stable polymorph in this dataset: 0.0 meV per atom. Its calculated total energy is -2.34 eV per atom. Its formation energy is -251 meV per atom.


# 5
Entry from the Alexandria database: a relaxed KBaHgPd crystal (PBE).

It has space group F-43m (No. 216), with a = 8.035 Å, b = 8.035 Å, c = 8.035 Å, α = 90.00°, β = 90.00° and γ = 90.00°. The inequivalent atoms are K at (0.000, 0.000, 0.000), Ba at (0.000, 0.000, 0.500), Hg at (0.250, 0.250, 0.750) and Pd at (0.250, 0.250, 0.250).

Its calculated total energy is -2.37 eV per atom. Its formation energy is -239 meV per atom.


# 6
Entry from the Alexandria database: a relaxed KBaHg2Pd crystal (PBE).

It has space group P4/mmm (No. 123), with a = 5.473 Å, b = 5.473 Å, c = 5.546 Å, α = 90.00°, β = 90.00° and γ = 90.00°. The inequivalent atoms are K at (0.000, 0.000, 0.000), Ba at (0.500, 0.500, 0.000), Hg at (0.000, 0.500, 0.500) and Pd at (0.000, 0.000, 0.500).

As for the energy above the most stable polymorph in this dataset: 99.1 meV per atom. Its calculated total energy is -1.92 eV per atom. Its formation energy is -158 meV per atom.


# 7
Entry from the Alexandria database: a relaxed KBaHg2Pd crystal (PBE).

It has space group P4/mmm (No. 123), with a = 5.560 Å, b = 5.560 Å, c = 5.714 Å, α = 90.00°, β = 90.00° and γ = 90.00°. The inequivalent atoms are K at (0.000, 0.000, 0.000), Ba at (0.500, 0.500, 0.000), Hg at (0.000, 0.500, 0.500) and Pd at (0.500, 0.500, 0.500).

As for the energy above the most stable polymorph in this dataset: 0.0 meV per atom. Its calculated total energy is -2.02 eV per atom. Its formation energy is -257 meV per atom.


# 8
Entry from the Alexandria database: a relaxed KBa2HgPd crystal (PBE).

It has space group P4/mmm (No. 123), with a = 6.152 Å, b = 6.152 Å, c = 6.149 Å, α = 90.00°, β = 90.00° and γ = 90.00°. The inequivalent atoms are K at (0.000, 0.000, 0.000), Ba at (0.000, 0.500, 0.500), Hg at (0.500, 0.500, 0.000) and Pd at (0.000, 0.000, 0.500).

As for the energy above the most stable polymorph in this dataset: 69.0 meV per atom. Its calculated total energy is -2.27 eV per atom. Its formation energy is -182 meV per atom.